PdPbCl2 | SCAN | PBEsol geometry

Properties
VASP energy = -126.10 eV/cell
volume = 20.2 A^3/atom

```
4
Lattice="-2.2011 -0.7332 4.2632 -3.2663 -3.5600 0.4642 1.0595 -3.9375 2.6327" Properties=species:S:1:pos:R:3 pbc="T T T"
Pb -2.2040 -4.1153 3.6801
Cl -1.1020 -2.0577 1.8400
Cl -3.3059 -6.1730 5.5201
Pd 0.0000 0.0000 0.0000
```